This record from Alexandria describes Pm2Cu3Sn5 after structural relaxation. The functional is PBE.

mass density	7.7	g cm⁻³
offset from the most stable computed form	0.0	meV/atom
energy of formation from the pure elements	-34.1	kJ per mole of atoms

```
data_Pm2Cu3Sn5
_chemical_formula_sum 'Pm8 Cu12 Sn20'
_space_group_name_H-M_alt 'C m c 21'
_space_group_IT_number 36
_cell_length_a 4.553
_cell_length_b 24.724
_cell_length_c 8.207
_cell_angle_alpha 90.00
_cell_angle_beta 90.00
_cell_angle_gamma 90.00
loop_
_space_group_symop_operation_xyz
'x,y,z'
'-x,-y,z+1/2'
'-x,y,z'
'x,-y,z+1/2'
'x+1/2,y+1/2,z'
'-x+1/2,-y+1/2,z+1/2'
'-x+1/2,y+1/2,z'
'x+1/2,-y+1/2,z+1/2'
loop_
_atom_site_label
_atom_site_type_symbol
_atom_site_fract_x
_atom_site_fract_y
_atom_site_fract_z
Pm1 Pm 0.000 0.034 0.000
Pm2 Pm 0.000 0.328 0.030
Cu1 Cu 0.000 0.092 0.662
Cu2 Cu 0.000 0.261 0.662
Cu3 Cu 0.000 0.455 0.863
Sn1 Sn 0.000 0.099 0.347
Sn2 Sn 0.000 0.172 0.864
Sn3 Sn 0.000 0.240 0.335
Sn4 Sn 0.000 0.368 0.611
Sn5 Sn 0.000 0.456 0.196
```



This record from Alexandria describes PO after structural relaxation. The functional is PBE.

mass density	2.2	g cm⁻³
offset from the most stable computed form	183.5	meV/atom

```
data_PO
_chemical_formula_sum 'P16 O16'
_space_group_name_H-M_alt 'F d d d'
_space_group_IT_number 70
_cell_length_a 4.742
_cell_length_b 5.773
_cell_length_c 20.278
_cell_angle_alpha 90.00
_cell_angle_beta 90.00
_cell_angle_gamma 90.00
loop_
_space_group_symop_operation_xyz
'x,y,z'
'-x,-y,-z'
'-x+1/4,-y+1/4,z'
'x+1/4,y+1/4,-z'
'x,-y+1/4,-z+1/4'
'-x,y+1/4,z+1/4'
'-x+1/4,y,-z+1/4'
'x+1/4,-y,z+1/4'
'x,y+1/2,z+1/2'
'-x,-y+1/2,-z+1/2'
'-x+1/4,-y+3/4,z+1/2'
'x+1/4,y+3/4,-z+1/2'
'x,-y+3/4,-z+3/4'
'-x,y+3/4,z+3/4'
'-x+1/4,y+1/2,-z+3/4'
'x+1/4,-y+1/2,z+3/4'
'x+1/2,y,z+1/2'
'-x+1/2,-y,-z+1/2'
'-x+3/4,-y+1/4,z+1/2'
'x+3/4,y+1/4,-z+1/2'
'x+1/2,-y+1/4,-z+3/4'
'-x+1/2,y+1/4,z+3/4'
'-x+3/4,y,-z+3/4'
'x+3/4,-y,z+3/4'
'x+1/2,y+1/2,z'
'-x+1/2,-y+1/2,-z'
'-x+3/4,-y+3/4,z'
'x+3/4,y+3/4,-z'
'x+1/2,-y+3/4,-z+1/4'
'-x+1/2,y+3/4,z+1/4'
'-x+3/4,y+1/2,-z+1/4'
'x+3/4,-y+1/2,z+1/4'
loop_
_atom_site_label
_atom_site_type_symbol
_atom_site_fract_x
_atom_site_fract_y
_atom_site_fract_z
P1 P 0.125 0.339 0.125
O1 O 0.125 0.125 0.068
```



This record from Alexandria describes PrGaNi6 after structural relaxation. The functional is PBE.

mass density	7.9	g cm⁻³
energy of formation from the pure elements	-7.1	kJ per mole of atoms

```
data_PrGaNi6
_chemical_formula_sum 'Pr1 Ga1 Ni6'
_space_group_name_H-M_alt 'P 4/m m m'
_space_group_IT_number 123
_space_group_name_Hall '-P 4 2'
_cell_length_a 3.896
_cell_length_b 3.896
_cell_length_c 7.814
_cell_angle_alpha 90.00
_cell_angle_beta 90.00
_cell_angle_gamma 90.00
loop_
_atom_site_label
_atom_site_type_symbol
_atom_site_fract_x
_atom_site_fract_y
_atom_site_fract_z
Pr1 Pr 0.000 0.000 0.000
Ga1 Ga 0.000 0.000 0.500
Ni1 Ni 0.000 0.500 0.325
Ni2 Ni 0.500 0.500 0.149
```



This record from Alexandria describes MnNi14Os after structural relaxation. The functional is PBE.

mass density	9.9	g cm⁻³
energy of formation from the pure elements	1.6	kJ per mole of atoms

```
data_MnNi14Os
_chemical_formula_sum 'Mn1 Ni14 Os1'
_space_group_name_H-M_alt 'P 4/m m m'
_space_group_IT_number 123
_space_group_name_Hall '-P 4 2'
_cell_length_a 5.041
_cell_length_b 5.041
_cell_length_c 7.062
_cell_angle_alpha 90.00
_cell_angle_beta 90.00
_cell_angle_gamma 90.00
loop_
_atom_site_label
_atom_site_type_symbol
_atom_site_fract_x
_atom_site_fract_y
_atom_site_fract_z
Mn1 Mn 0.000 0.000 0.000
Ni1 Ni 0.000 0.000 0.500
Ni2 Ni 0.000 0.500 0.000
Ni3 Ni 0.000 0.500 0.500
Ni4 Ni 0.251 0.251 0.254
Ni5 Ni 0.500 0.500 0.500
Os1 Os 0.500 0.500 0.000
```



This record from Alexandria describes LiBe after structural relaxation. The functional is PBE.

mass density	0.9	g cm⁻³
offset from the most stable computed form	89.7	meV/atom
energy of formation from the pure elements	21.1	kJ per mole of atoms

```
data_LiBe
_chemical_formula_sum 'Li8 Be8'
_space_group_name_H-M_alt 'P 4/m'
_space_group_IT_number 83
_cell_length_a 7.905
_cell_length_b 7.905
_cell_length_c 3.686
_cell_angle_alpha 90.00
_cell_angle_beta 90.00
_cell_angle_gamma 90.00
loop_
_space_group_symop_operation_xyz
'x,y,z'
'-x,-y,-z'
'-y,x,z'
'y,-x,-z'
'-x,-y,z'
'x,y,-z'
'y,-x,z'
'-y,x,-z'
loop_
_atom_site_label
_atom_site_type_symbol
_atom_site_fract_x
_atom_site_fract_y
_atom_site_fract_z
Li1 Li 0.096 0.624 0.000
Li2 Li 0.140 0.259 0.500
Be1 Be 0.306 0.543 0.500
Be2 Be 0.331 0.401 0.000
```



This record from Alexandria describes BaCoGeRh2 after structural relaxation. The functional is PBE.

mass density	6.3	g cm⁻³
energy of formation from the pure elements	75.3	kJ per mole of atoms

```
data_BaCoGeRh2
_chemical_formula_sum 'Ba1 Co1 Ge1 Rh2'
_space_group_name_H-M_alt 'P 4/m m m'
_space_group_IT_number 123
_space_group_name_Hall '-P 4 2'
_cell_length_a 4.613
_cell_length_b 4.613
_cell_length_c 5.859
_cell_angle_alpha 90.00
_cell_angle_beta 90.00
_cell_angle_gamma 90.00
loop_
_atom_site_label
_atom_site_type_symbol
_atom_site_fract_x
_atom_site_fract_y
_atom_site_fract_z
Ba1 Ba 0.000 0.000 0.000
Co1 Co 0.500 0.500 0.000
Ge1 Ge 0.000 0.000 0.500
Rh1 Rh 0.000 0.500 0.500
```



This record from Alexandria describes Pm4PrSmDy2 after structural relaxation. The functional is PBE.

mass density	7.3	g cm⁻³
energy of formation from the pure elements	1.6	kJ per mole of atoms

```
data_Pm4PrSmDy2
_chemical_formula_sum 'Pm4 Pr1 Sm1 Dy2'
_space_group_name_H-M_alt 'P 1 2/m 1'
_space_group_IT_number 10
_cell_length_a 6.271
_cell_length_b 3.635
_cell_length_c 12.046
_cell_angle_alpha 90.00
_cell_angle_beta 100.14
_cell_angle_gamma 90.00
loop_
_space_group_symop_operation_xyz
'x,y,z'
'-x,-y,-z'
'-x,y,-z'
'x,-y,z'
loop_
_atom_site_label
_atom_site_type_symbol
_atom_site_fract_x
_atom_site_fract_y
_atom_site_fract_z
Pm1 Pm 0.248 0.000 0.248
Pm2 Pm 0.249 0.500 0.750
Pr1 Pr 0.500 0.500 0.500
Sm1 Sm 0.500 0.000 0.000
Dy1 Dy 0.000 0.000 0.500
Dy2 Dy 0.000 0.500 0.000
```



This record from Alexandria describes SnHgBi2H after structural relaxation. The functional is PBE.

mass density	9.4	g cm⁻³
calculated total energy	-14.20	eV for the cell shown

```
data_SnHgBi2H
_chemical_formula_sum 'Sn1 Hg1 Bi2 H1'
_space_group_name_H-M_alt 'P 4/m m m'
_space_group_IT_number 123
_space_group_name_Hall '-P 4 2'
_cell_length_a 6.077
_cell_length_b 6.077
_cell_length_c 3.530
_cell_angle_alpha 90.00
_cell_angle_beta 90.00
_cell_angle_gamma 90.00
loop_
_atom_site_label
_atom_site_type_symbol
_atom_site_fract_x
_atom_site_fract_y
_atom_site_fract_z
Sn1 Sn 0.000 0.000 0.000
Hg1 Hg 0.500 0.500 0.500
Bi1 Bi 0.000 0.500 0.500
H1 H 0.500 0.500 0.000
```



This record from Alexandria describes GaSnMo2 after structural relaxation. The functional is PBE.

mass density	8.3	g cm⁻³
offset from the most stable computed form	155.1	meV/atom
energy of formation from the pure elements	43.4	kJ per mole of atoms

```
data_GaSnMo2
_chemical_formula_sum 'Ga4 Sn4 Mo8'
_space_group_name_H-M_alt 'I -4 2 d'
_space_group_IT_number 122
_space_group_name_Hall 'I -4 2bw'
_cell_length_a 3.964
_cell_length_b 3.964
_cell_length_c 19.372
_cell_angle_alpha 90.00
_cell_angle_beta 90.00
_cell_angle_gamma 90.00
loop_
_atom_site_label
_atom_site_type_symbol
_atom_site_fract_x
_atom_site_fract_y
_atom_site_fract_z
Ga1 Ga 0.000 0.000 0.000
Sn1 Sn 0.000 0.000 0.500
Mo1 Mo 0.195 0.250 0.125
```



This record from Alexandria describes LaMgFeC after structural relaxation. The functional is PBE.

mass density	5.2	g cm⁻³
energy of formation from the pure elements	3.3	kJ per mole of atoms

```
data_LaMgFeC
_chemical_formula_sum 'La2 Mg2 Fe2 C2'
_space_group_name_H-M_alt 'P 4/n m m'
_space_group_IT_number 129
_cell_length_a 3.637
_cell_length_b 3.637
_cell_length_c 11.126
_cell_angle_alpha 90.00
_cell_angle_beta 90.00
_cell_angle_gamma 90.00
loop_
_space_group_symop_operation_xyz
'x,y,z'
'-x,-y,-z'
'-y+1/2,x,z'
'y+1/2,-x,-z'
'-x+1/2,-y+1/2,z'
'x+1/2,y+1/2,-z'
'y,-x+1/2,z'
'-y,x+1/2,-z'
'x+1/2,-y,-z'
'-x+1/2,y,z'
'-y,-x,-z'
'y,x,z'
'-x,y+1/2,-z'
'x,-y+1/2,z'
'y+1/2,x+1/2,-z'
'-y+1/2,-x+1/2,z'
loop_
_atom_site_label
_atom_site_type_symbol
_atom_site_fract_x
_atom_site_fract_y
_atom_site_fract_z
La1 La 0.250 0.250 0.207
Mg1 Mg 0.250 0.750 0.500
Fe1 Fe 0.250 0.750 0.000
C1 C 0.250 0.250 0.925
```



This record from Alexandria describes Li3Y2TiS6 after structural relaxation. The functional is PBE.

mass density	3.2	g cm⁻³
calculated total energy	-142.49	eV for the cell shown

```
data_Li3Y2TiS6
_chemical_formula_sum 'Li6 Y4 Ti2 S12'
_space_group_name_H-M_alt 'C 1 2/m 1'
_space_group_IT_number 12
_cell_length_a 6.573
_cell_length_b 11.370
_cell_length_c 6.525
_cell_angle_alpha 90.00
_cell_angle_beta 109.51
_cell_angle_gamma 90.00
loop_
_space_group_symop_operation_xyz
'x,y,z'
'-x,-y,-z'
'-x,y,-z'
'x,-y,z'
'x+1/2,y+1/2,z'
'-x+1/2,-y+1/2,-z'
'-x+1/2,y+1/2,-z'
'x+1/2,-y+1/2,z'
loop_
_atom_site_label
_atom_site_type_symbol
_atom_site_fract_x
_atom_site_fract_y
_atom_site_fract_z
Li1 Li 0.000 0.000 0.000
Li2 Li 0.000 0.339 0.000
Y1 Y 0.000 0.168 0.500
Ti1 Ti 0.000 0.500 0.500
S1 S 0.230 0.500 0.258
S2 S 0.239 0.344 0.748
```



This record from Alexandria describes Pu2GaC after structural relaxation. The functional is PBE.

mass density	11.6	g cm⁻³
energy of formation from the pure elements	6.6	kJ per mole of atoms

```
data_Pu2GaC
_chemical_formula_sum 'Pu4 Ga2 C2'
_space_group_name_H-M_alt 'A m m 2'
_space_group_IT_number 38
_cell_length_a 8.076
_cell_length_b 3.419
_cell_length_c 5.904
_cell_angle_alpha 90.00
_cell_angle_beta 90.00
_cell_angle_gamma 90.00
loop_
_space_group_symop_operation_xyz
'x,y,z'
'-x,-y,z'
'-x,y,z'
'x,-y,z'
'x,y+1/2,z+1/2'
'-x,-y+1/2,z+1/2'
'-x,y+1/2,z+1/2'
'x,-y+1/2,z+1/2'
loop_
_atom_site_label
_atom_site_type_symbol
_atom_site_fract_x
_atom_site_fract_y
_atom_site_fract_z
Pu1 Pu 0.181 0.000 0.000
Ga1 Ga 0.500 0.000 0.335
C1 C 0.000 0.000 0.666
```